No. 1
Entry from the Alexandria database: crystalline CeAsH at its relaxed geometry (PBE-GGA).

Values from the calculation:
energy above the lowest structure with this stoichiometry = 389 meV per atom

Lattice parameters (Å, degrees): 6.424 6.424 6.424 90.00 90.00 90.00
Space group F-43m (No. 216)
Asymmetric unit:
Ce1 0.000 0.000 0.000
As1 0.250 0.250 0.750
H1 0.250 0.250 0.250

---

No. 2
Entry from the Alexandria database: crystalline MgSiSnHS at its relaxed geometry (PBE-GGA).

Values from the calculation:
energy above the lowest structure with this stoichiometry = 39 meV per atom

Lattice parameters (Å, degrees): 6.824 5.012 6.510 90.00 99.76 90.00
Space group Cm (No. 8)
Asymmetric unit:
Mg1 0.000 0.000 0.000
Si1 0.053 0.500 0.635
Sn1 0.163 0.000 0.580
H1 0.096 0.000 0.298
S1 0.127 0.500 0.987

---

No. 3
Entry from the Alexandria database: crystalline Sn2Pb2I at its relaxed geometry (PBE-GGA).

Values from the calculation:
energy above the lowest structure with this stoichiometry = 146 meV per atom
raw formation energy = 34 meV/atom

Lattice parameters (Å, degrees): 4.705 4.705 15.217 90.00 90.00 90.00
Space group I4/mmm (No. 139)
Asymmetric unit:
Sn1 0.000 0.000 0.103
Pb1 0.000 0.500 0.250
I1 0.000 0.000 0.500

---

Question: Which of these has the highest energy above the lowest structure with this stoichiometry?
Answer: CeAsH

---

Question: Among the records above, which one has the lowest energy above the lowest structure with this stoichiometry?
Answer: MgSiSnHS